1.
Below is crystalline GdLuMnIr at its relaxed geometry, with properties calculated at the PBE level.

Energy relative to the elements   -0.333 eV/atom
Total energy   -9.491 eV per atom

abc: 6.897 6.897 6.897
angles: 90.00 90.00 90.00
Space group F-43m (No. 216)
Symmetry-distinct sites (fractional):
1 Gd 0.000 0.000 0.000
2 Lu 0.000 0.000 0.500
3 Mn 0.250 0.250 0.250
4 Ir 0.250 0.250 0.750

---

2.
Below is crystalline GdLuNiIr at its relaxed geometry, with properties calculated at the PBE level.

Energy relative to the elements   -0.661 eV/atom
Total energy   -8.972 eV per atom

abc: 6.778 6.778 6.778
angles: 90.00 90.00 90.00
Space group F-43m (No. 216)
Symmetry-distinct sites (fractional):
1 Gd 0.000 0.000 0.000
2 Lu 0.000 0.000 0.500
3 Ni 0.250 0.250 0.250
4 Ir 0.250 0.250 0.750

---

3.
Below is crystalline GdLuIrOs at its relaxed geometry, with properties calculated at the PBE level.

Energy relative to the elements   -0.467 eV/atom
Total energy   -10.140 eV per atom

abc: 6.790 6.790 6.790
angles: 90.00 90.00 90.00
Space group F-43m (No. 216)
Symmetry-distinct sites (fractional):
1 Gd 0.000 0.000 0.000
2 Lu 0.000 0.000 0.500
3 Ir 0.250 0.250 0.250
4 Os 0.250 0.250 0.750

---

4.
Below is crystalline GdLuIrPb at its relaxed geometry, with properties calculated at the PBE level.

Energy relative to the elements   -0.475 eV/atom
Total energy   -8.268 eV per atom

abc: 7.229 7.229 7.229
angles: 90.00 90.00 90.00
Space group F-43m (No. 216)
Symmetry-distinct sites (fractional):
1 Gd 0.000 0.000 0.000
2 Lu 0.000 0.000 0.500
3 Ir 0.250 0.250 0.250
4 Pb 0.250 0.250 0.750

---

5.
Below is crystalline GdLuIrPd at its relaxed geometry, with properties calculated at the PBE level.

Energy relative to the elements   -0.909 eV/atom
Total energy   -9.073 eV per atom

abc: 6.889 6.889 6.889
angles: 90.00 90.00 90.00
Space group F-43m (No. 216)
Symmetry-distinct sites (fractional):
1 Gd 0.000 0.000 0.000
2 Lu 0.000 0.000 0.500
3 Ir 0.250 0.250 0.250
4 Pd 0.250 0.250 0.750

---

6.
Below is crystalline GdLuIrPt at its relaxed geometry, with properties calculated at the PBE level.

Energy relative to the elements   -1.026 eV/atom
Total energy   -9.402 eV per atom

abc: 6.883 6.883 6.883
angles: 90.00 90.00 90.00
Space group F-43m (No. 216)
Symmetry-distinct sites (fractional):
1 Gd 0.000 0.000 0.000
2 Lu 0.000 0.000 0.500
3 Ir 0.250 0.250 0.750
4 Pt 0.250 0.250 0.250

---

7.
Below is crystalline GdLuIrRu at its relaxed geometry, with properties calculated at the PBE level.

Energy relative to the elements   -0.629 eV/atom
Total energy   -9.814 eV per atom

abc: 6.785 6.785 6.785
angles: 90.00 90.00 90.00
Space group F-43m (No. 216)
Symmetry-distinct sites (fractional):
1 Gd 0.000 0.000 0.000
2 Lu 0.000 0.000 0.500
3 Ir 0.250 0.250 0.750
4 Ru 0.250 0.250 0.250

---

8.
Below is crystalline GdLuTcIr at its relaxed geometry, with properties calculated at the PBE level.

Energy relative to the elements   -0.344 eV/atom
Total energy   -9.802 eV per atom

abc: 6.799 6.799 6.799
angles: 90.00 90.00 90.00
Space group F-43m (No. 216)
Symmetry-distinct sites (fractional):
1 Gd 0.000 0.000 0.000
2 Lu 0.000 0.000 0.500
3 Tc 0.250 0.250 0.250
4 Ir 0.250 0.250 0.750

---

9.
Below is crystalline GdLuTlIr at its relaxed geometry, with properties calculated at the PBE level.

Energy relative to the elements   -0.483 eV/atom
Total energy   -7.941 eV per atom

abc: 7.173 7.173 7.173
angles: 90.00 90.00 90.00
Space group F-43m (No. 216)
Symmetry-distinct sites (fractional):
1 Gd 0.000 0.000 0.000
2 Lu 0.000 0.000 0.500
3 Tl 0.250 0.250 0.750
4 Ir 0.250 0.250 0.250

---

10.
Below is crystalline GdMgIr4 at its relaxed geometry, with properties calculated at the PBE level.

Energy relative to the elements   -0.522 eV/atom
Total energy   -9.042 eV per atom

abc: 7.504 7.504 7.504
angles: 90.00 90.00 90.00
Space group F-43m (No. 216)
Symmetry-distinct sites (fractional):
1 Gd 0.000 0.000 0.000
2 Mg 0.250 0.250 0.250
3 Ir 0.125 0.125 0.625

---

11.
Below is crystalline NdGdMgIr at its relaxed geometry, with properties calculated at the PBE level.

Energy relative to the elements   -0.354 eV/atom
Total energy   -7.681 eV per atom

abc: 7.259 7.259 7.259
angles: 90.00 90.00 90.00
Space group F-43m (No. 216)
Symmetry-distinct sites (fractional):
1 Nd 0.000 0.000 0.000
2 Gd 0.000 0.000 0.500
3 Mg 0.250 0.250 0.750
4 Ir 0.250 0.250 0.250

---

12.
Below is crystalline GdMgNiIr at its relaxed geometry, with properties calculated at the PBE level.

Energy relative to the elements   -0.403 eV/atom
Total energy   -7.982 eV per atom

abc: 6.580 6.580 6.580
angles: 90.00 90.00 90.00
Space group F-43m (No. 216)
Symmetry-distinct sites (fractional):
1 Gd 0.000 0.000 0.000
2 Mg 0.000 0.000 0.500
3 Ni 0.250 0.250 0.750
4 Ir 0.250 0.250 0.250